1.
Compound: VRuCl2
Source: Alexandria via LeMat-Bulk
Functional: PBE
Structure: optimized geometry

Lattice parameters (Å, degrees): 4.2369 4.2369 8.1358 74.91 74.91 90.00
Last column: nearest neighbours and their distance in Å.
Fractional coordinates of all 8 atoms:
Ru: 0.0000 0.0000 0.0000  4 Cl 2.42
V: 0.5000 0.5000 0.0000  4 Cl 2.41
Cl: 0.6220 0.1250 0.2500  2 V 2.41, 2 Ru 2.42
V: 0.2500 0.7500 0.5000  4 Cl 2.41
Cl: 0.3750 0.3780 0.7500  2 V 2.41, 2 Ru 2.42
Cl: 0.8750 0.8720 0.7500  2 V 2.41, 2 Ru 2.42
Cl: 0.1280 0.6250 0.2500  2 V 2.41, 2 Ru 2.42
Ru: 0.7500 0.2500 0.5000  4 Cl 2.42

Properties
total magnetic moment: 1.008 μB per formula unit
crystal system: tetragonal
uncorrected energy: -5.341 eV/atom
relative energy among the computed polymorphs: 185 meV/atom
ΔE_f (raw): 0.18 eV/atom
space group: I-42d (122)

2.
Compound: Tb6SmTh2
Source: Alexandria via LeMat-Bulk
Functional: PBE
Structure: optimized geometry

Lattice parameters (Å, degrees): 3.5786 3.5786 26.4908 90.00 90.00 120.00
Last column: nearest neighbours and their distance in Å.
Fractional coordinates of all 9 atoms:
Tb: 0.3333 0.6667 0.7812  9 Tb 3.53-3.58, 3 Th 3.60
Th: 0.6667 0.3333 0.6700  6 Tb 3.50-3.60, 6 Th 3.58
Tb: 0.6667 0.3333 0.8893  9 Tb 3.53-3.58, 3 Sm 3.59
Tb: 0.3333 0.6667 0.2188  9 Tb 3.53-3.58, 3 Th 3.60
Tb: 0.6667 0.3333 0.1107  9 Tb 3.53-3.58, 3 Sm 3.59
Th: 0.6667 0.3333 0.3300  6 Tb 3.50-3.60, 6 Th 3.58
Sm: 0.3333 0.6667 0.0000  6 Sm 3.58, 6 Tb 3.59
Tb: 0.3333 0.6667 0.4369  7 Tb 3.34-3.58, 3 Th 3.50
Tb: 0.3333 0.6667 0.5631  7 Tb 3.34-3.58, 3 Th 3.50

Properties
total magnetic moment: 0.001 μB per formula unit
crystal system: hexagonal
uncorrected energy: -5.186 eV/atom
relative energy among the computed polymorphs: 19 meV/atom
space group: P-6m2 (187)
formation energy from the elements: 0.664 eV per formula unit

3.
Compound: MgPb2Cl2O2
Source: Alexandria via LeMat-Bulk
Functional: PBE
Structure: optimized geometry

Lattice parameters (Å, degrees): 4.1300 4.1300 8.5521 103.97 103.97 90.00
Last column: nearest neighbours and their distance in Å.
Fractional coordinates of all 7 atoms:
Cl: 0.1695 0.1695 0.3391  1 Mg 2.73
Pb: 0.3971 0.3971 0.7942  4 O 2.65
Pb: 0.6029 0.6029 0.2058  4 O 2.65
O: 0.0000 0.5000 0.0000  2 Mg 2.06
Mg: 0.0000 0.0000 0.0000  4 O 2.06
O: 0.5000 0.0000 0.0000  2 Mg 2.06
Cl: 0.8305 0.8305 0.6609  1 Mg 2.73

Properties
total magnetic moment: 0.000 μB per formula unit
crystal system: tetragonal
uncorrected energy: -4.767 eV/atom
ΔE_f (raw): -1.54 eV/atom
space group: I4/mmm (139)

4.
Compound: AsRuCl2
Source: Alexandria via LeMat-Bulk
Functional: PBE
Structure: optimized geometry

Lattice parameters (Å, degrees): 10.6933 10.6933 10.6933 18.10 18.10 18.10
Last column: nearest neighbours and their distance in Å.
Fractional coordinates of all 4 atoms:
As: 0.0000 0.0000 0.0000  6 As 3.36
Ru: 0.5000 0.5000 0.5000  6 Cl 2.38
Cl: 0.1230 0.1230 0.1230  3 Ru 2.38
Cl: 0.8770 0.8770 0.8770  3 Ru 2.38

Properties
total magnetic moment: 0.208 μB per formula unit
crystal system: trigonal
uncorrected energy: -4.108 eV/atom
relative energy among the computed polymorphs: 621 meV/atom
ΔE_f (raw): 0.30 eV/atom
space group: R-3m (166)

5.
Compound: LaZnFe2H8
Source: Alexandria via LeMat-Bulk
Functional: PBE
Structure: optimized geometry

Lattice parameters (Å, degrees): 4.5411 4.5411 6.5542 90.00 90.00 120.00
Last column: nearest neighbours and their distance in Å.
Fractional coordinates of all 12 atoms:
H: 0.8522 0.1478 0.2054  1 Fe 1.50
H: 0.7045 0.8522 0.7946  1 Fe 1.50
H: 0.2955 0.1478 0.2054  1 Fe 1.50
Fe: 0.6667 0.3333 0.1514  4 H 1.50-1.57
Zn: 0.0000 0.0000 0.0000  6 H 1.78
H: 0.3333 0.6667 0.6089  1 Fe 1.57
La: 0.0000 0.0000 0.5000  6 H 2.25
Fe: 0.3333 0.6667 0.8486  4 H 1.50-1.57
H: 0.6667 0.3333 0.3911  1 Fe 1.57
H: 0.1478 0.8522 0.7946  1 Fe 1.50
H: 0.8522 0.7045 0.2054  1 Fe 1.50
H: 0.1478 0.2955 0.7946  1 Fe 1.50

Properties
total magnetic moment: 0.000 μB per formula unit
crystal system: trigonal
uncorrected energy: -4.035 eV/atom
space group: P-3m1 (164)

6.
Compound: KCu2Sb
Source: Alexandria via LeMat-Bulk
Functional: PBE
Structure: optimized geometry

Lattice parameters (Å, degrees): 3.3081 3.9338 7.3340 90.00 90.00 90.00
Last column: nearest neighbours and their distance in Å.
Fractional coordinates of all 4 atoms:
K: 0.5000 0.5000 0.2500  2 K 3.31, 8 Cu 3.55, 2 Sb 3.67
Sb: 0.5000 0.5000 0.7500  8 Cu 2.85
Cu: 0.0000 0.0000 0.9167  1 Cu 2.44
Cu: 0.0000 0.0000 0.5833  1 Cu 2.44

Properties
total magnetic moment: 0.000 μB per formula unit
crystal system: orthorhombic
uncorrected energy: -3.061 eV/atom
ΔE_f (raw): 0.29 eV/atom
space group: Pmmm (47)

7.
Compound: Rb2LaPb2
Source: Alexandria via LeMat-Bulk
Functional: PBE
Structure: optimized geometry

Lattice parameters (Å, degrees): 8.4363 8.4363 6.3302 90.00 90.00 90.00
Last column: nearest neighbours and their distance in Å.
Fractional coordinates of all 10 atoms:
La: 0.5000 0.5000 0.0000  4 Pb 3.31
Rb: 0.6660 0.8340 0.5000  1 Rb 3.96, 6 Pb 3.99-4.04
Rb: 0.3340 0.1660 0.5000  1 Rb 3.96, 6 Pb 3.99-4.04
Rb: 0.1660 0.6660 0.5000  1 Rb 3.96, 6 Pb 3.99-4.04
Rb: 0.8340 0.3340 0.5000  1 Rb 3.96, 6 Pb 3.99-4.04
Pb: 0.8703 0.6297 0.0000  1 Pb 3.10, 2 La 3.31
Pb: 0.6297 0.1297 0.0000  1 Pb 3.10, 2 La 3.31
Pb: 0.3703 0.8703 0.0000  1 Pb 3.10, 2 La 3.31
Pb: 0.1297 0.3703 0.0000  1 Pb 3.10, 2 La 3.31
La: 0.0000 0.0000 0.0000  4 Pb 3.31

Properties
total magnetic moment: 0.000 μB per formula unit
crystal system: tetragonal
uncorrected energy: -2.891 eV/atom
space group: P4/mbm (127)
formation energy from the elements: -0.174 eV per formula unit

8.
Compound: AcLa5Hg6
Source: Alexandria via LeMat-Bulk
Functional: PBE
Structure: optimized geometry

Lattice parameters (Å, degrees): 5.5411 7.9097 8.7830 90.00 108.49 90.00
Last column: nearest neighbours and their distance in Å.
Fractional coordinates of all 12 atoms:
La: 0.6660 0.0000 0.3345  8 Hg 3.38-3.45
La: 0.3340 0.0000 0.6655  8 Hg 3.38-3.45
Hg: 0.8322 0.2534 0.6611  7 La 3.36-3.43, 1 Ac 3.46
La: 0.6649 0.5000 0.3325  8 Hg 3.36-3.39
La: 0.0000 0.5000 0.0000  8 Hg 3.37-3.43
Hg: 0.5000 0.2568 0.0000  6 La 3.37-3.45, 2 Ac 3.44
Ac: 0.0000 0.0000 0.0000  8 Hg 3.44-3.46
Hg: 0.8322 0.7467 0.6611  7 La 3.36-3.43, 1 Ac 3.46
Hg: 0.1678 0.2533 0.3389  7 La 3.36-3.43, 1 Ac 3.46
Hg: 0.1678 0.7466 0.3389  7 La 3.36-3.43, 1 Ac 3.46
La: 0.3351 0.5000 0.6675  8 Hg 3.36-3.39
Hg: 0.5000 0.7432 0.0000  6 La 3.37-3.45, 2 Ac 3.44

Properties
total magnetic moment: 2.163 μB per formula unit
crystal system: monoclinic
uncorrected energy: -3.042 eV/atom
space group: P2/m (10)
formation energy from the elements: -5.946 eV per formula unit

9.
Compound: ZnNi6Os
Source: Alexandria via LeMat-Bulk
Functional: PBE
Structure: optimized geometry

Lattice parameters (Å, degrees): 3.5936 3.5936 7.1696 90.00 90.00 90.00
Last column: nearest neighbours and their distance in Å.
Fractional coordinates of all 8 atoms:
Ni: 0.5000 0.5000 0.5000  8 Ni 2.52, 4 Os 2.54
Os: 0.0000 0.0000 0.5000  12 Ni 2.52-2.54
Ni: 0.0000 0.5000 0.2535  8 Ni 2.52-2.56, 2 Os 2.52, 2 Zn 2.56
Ni: 0.0000 0.5000 0.7465  8 Ni 2.52-2.56, 2 Os 2.52, 2 Zn 2.56
Ni: 0.5000 0.0000 0.2535  8 Ni 2.52-2.56, 2 Os 2.52, 2 Zn 2.56
Zn: 0.0000 0.0000 0.0000  12 Ni 2.54-2.56
Ni: 0.5000 0.5000 0.0000  4 Zn 2.54, 8 Ni 2.56
Ni: 0.5000 0.0000 0.7465  8 Ni 2.52-2.56, 2 Os 2.52, 2 Zn 2.56

Properties
total magnetic moment: 0.000 μB per formula unit
crystal system: tetragonal
uncorrected energy: -5.913 eV/atom
relative energy among the computed polymorphs: 0 meV/atom
space group: P4/mmm (123)
formation energy from the elements: -0.110 eV per formula unit

10.
Compound: Tb6ErIn5
Source: Alexandria via LeMat-Bulk
Functional: PBE
Structure: optimized geometry

Lattice parameters (Å, degrees): 6.1783 10.4138 7.6239 46.92 81.30 77.21
Last column: nearest neighbours and their distance in Å.
Fractional coordinates of all 12 atoms:
Tb: 0.7773 0.7233 0.0000  5 In 3.18-3.38, 1 Er 3.46
In: 0.5000 0.8623 0.2753  1 In 3.07, 4 Tb 3.23-3.38
Tb: 0.7353 0.0948 0.3547  5 In 3.18-3.49, 1 Tb 3.45, 1 Er 3.54
Er: 0.0000 0.0000 0.0000  6 In 3.33-3.45, 6 Tb 3.46-3.54
In: 0.0000 0.2992 0.4015  6 Tb 3.18-3.30, 1 Er 3.33
Tb: 0.2647 0.9052 0.6453  5 In 3.18-3.49, 1 Tb 3.45, 1 Er 3.54
In: 0.5000 0.1377 0.7247  1 In 3.07, 4 Tb 3.23-3.38
Tb: 0.7353 0.4496 0.6453  5 In 3.18-3.49, 1 Tb 3.45, 1 Er 3.54
In: 0.0000 0.7008 0.5985  6 Tb 3.18-3.30, 1 Er 3.33
Tb: 0.2647 0.5504 0.3547  5 In 3.18-3.49, 1 Tb 3.45, 1 Er 3.54
In: 0.5000 0.5000 0.0000  6 Tb 3.18
Tb: 0.2227 0.2767 0.0000  5 In 3.18-3.38, 1 Er 3.46

Properties
total magnetic moment: 0.000 μB per formula unit
crystal system: monoclinic
uncorrected energy: -4.095 eV/atom
relative energy among the computed polymorphs: 118 meV/atom
space group: C2/m (12)
formation energy from the elements: -3.104 eV per formula unit

11.
Compound: KBa2Sr2
Source: Alexandria via LeMat-Bulk
Functional: PBE
Structure: optimized geometry

Lattice parameters (Å, degrees): 4.3963 4.3963 18.5370 83.19 83.19 60.00
Last column: nearest neighbours and their distance in Å.
Fractional coordinates of all 5 atoms:
Ba: 0.5956 0.5956 0.2132  3 Sr 4.36, 6 Ba 4.40, 3 K 4.67
Ba: 0.4044 0.4044 0.7868  3 Sr 4.36, 6 Ba 4.40, 3 K 4.67
Sr: 0.1980 0.1980 0.4060  9 Sr 4.28-4.40, 3 Ba 4.36
K: 0.0000 0.0000 0.0000  6 K 4.40, 6 Ba 4.67
Sr: 0.8020 0.8020 0.5940  9 Sr 4.28-4.40, 3 Ba 4.36

Properties
total magnetic moment: 0.001 μB per formula unit
crystal system: trigonal
uncorrected energy: -1.622 eV/atom
relative energy among the computed polymorphs: 0 meV/atom
space group: R-3m (166)
formation energy from the elements: 0.195 eV per formula unit

12.
Compound: YN
Source: Alexandria via LeMat-Bulk
Functional: PBE
Structure: optimized geometry

Lattice parameters (Å, degrees): 9.4718 9.4718 3.9489 90.00 90.00 90.00
Last column: nearest neighbours and their distance in Å.
Fractional coordinates of all 16 atoms:
Y: 0.3830 0.2055 0.0000  4 N 2.28-2.33
Y: 0.1170 0.2945 0.5000  4 N 2.28-2.33
N: 0.8761 0.2936 0.5000  4 Y 2.28-2.33
Y: 0.7945 0.3830 0.0000  4 N 2.28-2.33
Y: 0.8830 0.7055 0.5000  4 N 2.28-2.33
Y: 0.6170 0.7945 0.0000  4 N 2.28-2.33
N: 0.7936 0.6239 0.0000  4 Y 2.28-2.33
Y: 0.2055 0.6170 0.0000  4 N 2.28-2.33
N: 0.1239 0.7064 0.5000  4 Y 2.28-2.33
Y: 0.2945 0.8830 0.5000  4 N 2.28-2.33
N: 0.2064 0.3761 0.0000  4 Y 2.28-2.33
N: 0.7064 0.8761 0.5000  4 Y 2.28-2.33
Y: 0.7055 0.1170 0.5000  4 N 2.28-2.33
N: 0.2936 0.1239 0.5000  4 Y 2.28-2.33
N: 0.3761 0.7936 0.0000  4 Y 2.28-2.33
N: 0.6239 0.2064 0.0000  4 Y 2.28-2.33

Properties
total magnetic moment: 0.000 μB per formula unit
crystal system: tetragonal
uncorrected energy: -8.761 eV/atom
ΔE_f (raw): -1.37 eV/atom
space group: I4/m (87)

13.
Compound: InSiPb2
Source: Alexandria via LeMat-Bulk
Functional: PBE
Structure: optimized geometry

Lattice parameters (Å, degrees): 10.6622 10.6622 10.6622 18.82 18.82 18.82
Last column: nearest neighbours and their distance in Å.
Fractional coordinates of all 4 atoms:
In: 0.7500 0.7500 0.7500  6 In 3.49, 6 Pb 3.60
Pb: 0.9881 0.9881 0.9881  3 Si 3.02
Pb: 0.5119 0.5119 0.5119  3 Si 3.02
Si: 0.2500 0.2500 0.2500  6 Pb 3.02

Properties
total magnetic moment: 0.000 μB per formula unit
crystal system: trigonal
uncorrected energy: -3.607 eV/atom
ΔE_f (raw): 0.29 eV/atom
space group: R-3m (166)